Version i
YCuGeIr, relaxed, DFT GGA-PBE; symmetry = F-43m
1.0
1.299 -4.034 1.793
2.518 -0.102 3.850
-1.872 -1.478 3.935
Cu Ge Ir Y
1 1 1 1
direct
0.750 0.750 0.750 Cu
0.000 0.000 0.000 Ge
0.250 0.250 0.250 Ir
0.500 0.500 0.500 Y

Version ii
YCuGeIr, relaxed, DFT GGA-PBE; symmetry = F-43m
1.0
0.838 -4.563 0.182
0.987 -2.019 4.062
-3.081 -2.848 1.986
Cu Ge Ir Y
1 1 1 1
direct
0.750 0.750 0.750 Cu
0.000 0.000 0.000 Ge
0.500 0.500 0.500 Ir
0.250 0.250 0.250 Y

Preferred: version i; penalty for the next structure: 0.190 eV/atom.